TbPmSn2 | PBE | relaxed

Summary:
The energy of formation from the pure elements comes out at -0.649 eV per atom.

a = 4.9156 Å, b = 4.9156 Å, c = 4.5134 Å
α = 90.00°, β = 90.00°, γ = 90.00°
Space group P4/mmm (No. 123)
Asymmetric unit:
Tb: 0.0000 0.0000 0.0000 [1 per cell]
Pm: 0.5000 0.5000 0.0000 [1 per cell]
Sn: 0.0000 0.5000 0.5000 [2 per cell]


KNaTb2Br8 | PBE | relaxed

Summary:
The formation energy from raw total energies is -41.1 kcal/mol of atoms.

a = 7.0299 Å, b = 8.6820 Å, c = 7.3564 Å
α = 90.00°, β = 94.78°, γ = 90.00°
Space group P2/m (No. 10)
Asymmetric unit:
K: 0.0000 0.0000 0.0000 [1 per cell]
Na: 0.0000 0.5000 0.0000 [1 per cell]
Tb: 0.5000 0.2539 0.5000 [2 per cell]
Br: 0.2537 0.2674 0.1868 [4 per cell]
Br: 0.2850 0.5000 0.6467 [2 per cell]
Br: 0.2910 0.0000 0.6401 [2 per cell]


Ru2IBr | PBE | relaxed

Summary:
The formation energy from raw total energies is 6.5 kcal/mol of atoms.

a = 6.5753 Å, b = 3.8098 Å, c = 8.7222 Å
α = 90.00°, β = 110.32°, γ = 90.00°
Space group Cm (No. 8)
Asymmetric unit:
Ru: 0.0000 0.0000 0.0000 [2 per cell]
Ru: 0.2227 0.5000 0.1247 [2 per cell]
I: 0.4824 0.0000 0.3378 [2 per cell]
Br: 0.3276 0.0000 0.7874 [2 per cell]


Hf2SiIrO | PBE | relaxed

Summary:
The formation energy from raw total energies is -3.8 kcal/mol of atoms.

a = 5.0768 Å, b = 5.0768 Å, c = 3.3765 Å
α = 90.00°, β = 90.00°, γ = 90.00°
Space group P4/mmm (No. 123)
Asymmetric unit:
Hf: 0.0000 0.5000 0.0000 [2 per cell]
Si: 0.0000 0.0000 0.0000 [1 per cell]
Ir: 0.5000 0.5000 0.5000 [1 per cell]
O: 0.0000 0.0000 0.5000 [1 per cell]


InCuP2 | PBE | relaxed

Summary:
The energy of formation from the pure elements comes out at 0.509 eV per atom.

a = 3.7027 Å, b = 3.8957 Å, c = 4.7503 Å
α = 90.00°, β = 90.00°, γ = 90.00°
Space group Pmmm (No. 47)
Asymmetric unit:
In: 0.0000 0.0000 0.0000 [1 per cell]
Cu: 0.5000 0.5000 0.0000 [1 per cell]
P: 0.0000 0.5000 0.5000 [1 per cell]
P: 0.5000 0.0000 0.5000 [1 per cell]


BaTlTc2 | PBE | relaxed

Summary:
The energy of formation from the pure elements comes out at 1.196 eV per atom.

a = 6.4530 Å, b = 9.8525 Å, c = 3.0928 Å
α = 90.00°, β = 116.57°, γ = 90.00°
Space group C2/m (No. 12)
Asymmetric unit:
Ba: 0.0000 0.0000 0.0000 [2 per cell]
Tl: 0.0000 0.5000 0.0000 [2 per cell]
Tc: 0.2500 0.2500 0.5000 [4 per cell]


Al2IrSe | PBE | relaxed

Summary:
The formation energy from raw total energies is -0.8 kcal/mol of atoms.

a = 3.1253 Å, b = 3.1253 Å, c = 23.9874 Å
α = 90.00°, β = 90.00°, γ = 120.00°
Space group R3m (No. 160, hexagonal axes)
Asymmetric unit:
Al: 0.0000 0.0000 0.0000 [3 per cell]
Al: 0.0000 0.0000 0.2414 [3 per cell]
Ir: 0.0000 0.0000 0.5032 [3 per cell]
Se: 0.0000 0.0000 0.7411 [3 per cell]


Pm2Dy3Tm4 | PBE | relaxed

Summary:
The energy of formation from the pure elements comes out at 0.096 eV per atom.

a = 11.5090 Å, b = 5.6282 Å, c = 9.1198 Å
α = 90.00°, β = 104.09°, γ = 90.00°
Space group C2/m (No. 12)
Asymmetric unit:
Pm: 0.0710 0.0000 0.2865 [4 per cell]
Dy: 0.0000 0.5000 0.0000 [2 per cell]
Dy: 0.1097 0.5000 0.6868 [4 per cell]
Tm: 0.1805 0.0000 0.9624 [4 per cell]
Tm: 0.2308 0.5000 0.3667 [4 per cell]


Cs2AgPbI6 | PBE | relaxed

Summary:
The formation energy from raw total energies is -19.3 kcal/mol of atoms.

a = 8.6141 Å, b = 8.6141 Å, c = 12.2122 Å
α = 90.00°, β = 90.00°, γ = 90.00°
Space group I4/mmm (No. 139)
Asymmetric unit:
Cs: 0.0000 0.5000 0.2500 [4 per cell]
Ag: 0.0000 0.0000 0.0000 [2 per cell]
Pb: 0.0000 0.0000 0.5000 [2 per cell]
I: 0.0000 0.0000 0.2438 [4 per cell]
I: 0.2433 0.2433 0.0000 [8 per cell]


RbZrTl3 | PBE | relaxed

Summary:
The energy of formation from the pure elements comes out at 1.355 eV per atom.

a = 5.9842 Å, b = 5.9842 Å, c = 5.9842 Å
α = 90.00°, β = 90.00°, γ = 90.00°
Space group Pm-3m (No. 221)
Asymmetric unit:
Rb: 0.0000 0.0000 0.0000 [1 per cell]
Zr: 0.5000 0.5000 0.5000 [1 per cell]
Tl: 0.0000 0.0000 0.5000 [3 per cell]


Pm4GeRhCl2 | PBE | relaxed

Summary:
The formation energy from raw total energies is -26.6 kcal/mol of atoms.

a = 7.4078 Å, b = 4.1022 Å, c = 7.4662 Å
α = 90.00°, β = 107.82°, γ = 90.00°
Space group P2/m (No. 10)
Asymmetric unit:
Pm: 0.2122 0.0000 0.2272 [2 per cell]
Pm: 0.2194 0.5000 0.7514 [2 per cell]
Ge: 0.0000 0.0000 0.5000 [1 per cell]
Rh: 0.0000 0.5000 0.0000 [1 per cell]
Cl: 0.5000 0.0000 0.0000 [1 per cell]
Cl: 0.5000 0.5000 0.5000 [1 per cell]


Cd2In3Hg3Pb | PBE | relaxed

Summary:
The energy of formation from the pure elements comes out at 0.049 eV per atom.

a = 8.9746 Å, b = 8.9746 Å, c = 3.4635 Å
α = 90.00°, β = 90.00°, γ = 120.00°
Space group P-62m (No. 189)
Asymmetric unit:
Cd: 0.3333 0.6667 0.0000 [2 per cell]
In: 0.0000 0.6887 0.0000 [3 per cell]
Hg: 0.0000 0.3766 0.5000 [3 per cell]
Pb: 0.0000 0.0000 0.5000 [1 per cell]


Pr4DyEr2 | PBE | relaxed

Summary:
The energy of formation from the pure elements comes out at 0.063 eV per atom.

a = 12.0614 Å, b = 24.4449 Å, c = 6.4920 Å
α = 90.00°, β = 90.00°, γ = 90.00°
Space group Fdd2 (No. 43)
Asymmetric unit:
Pr: 0.0513 0.4294 0.0000 [16 per cell]
Pr: 0.0689 0.3561 0.4697 [16 per cell]
Dy: 0.0000 0.0000 0.0041 [8 per cell]
Er: 0.0242 0.2838 0.9462 [16 per cell]


One value per record, in order, for VASP energy: -19.98; -46.42; -41.29; -39.97; -15.62; -40.47; -59.93; -80.66; -51.90; -9.84; -43.90; -14.22; -259.25 eV per cell.